# Li2BrCl PBE optimized geometry
data_Li2BrCl
_symmetry_space_group_name_H-M 'P 1'
_symmetry_Int_Tables_number 1
_cell_length_a 8.881
_cell_length_b 8.881
_cell_length_c 8.881
_cell_angle_alpha 156.73
_cell_angle_beta 156.73
_cell_angle_gamma 33.14
loop_
_symmetry_equiv_pos_as_xyz
'x,y,z'
loop_
_atom_site_label
_atom_site_type_symbol
_atom_site_fract_x
_atom_site_fract_y
_atom_site_fract_z
Li1 Li 0.000 0.000 0.000
Li2 Li 0.750 0.250 0.500
Br1 Br 0.250 0.750 0.500
Cl1 Cl 0.500 0.500 0.000
# ΔE_f (raw): -35.62 kcal/mol of atoms
# Energy relative to the lowest polymorph listed for this composition: 137 meV/atom